Record 1
# Pr2Tl3Hg3 | Alexandria | PBE | optimized geometry
# Energy relative to the elements: -0.335 eV/atom
data_Pr2Tl3Hg3
_chemical_formula_sum 'Pr2 Tl3 Hg3'
_cell_length_a 4.7804
_cell_length_b 4.8096
_cell_length_c 9.4703
_cell_angle_alpha 90.00
_cell_angle_beta 90.00
_cell_angle_gamma 90.00
_space_group_name_H-M_alt 'P m m m'
_space_group_IT_number 47
loop_
_space_group_symop_operation_xyz
'x,y,z'
'-x,-y,-z'
'-x,-y,z'
'x,y,-z'
'x,-y,-z'
'-x,y,z'
'-x,y,-z'
'x,-y,z'
loop_
_atom_site_label
_atom_site_type_symbol
_atom_site_fract_x
_atom_site_fract_y
_atom_site_fract_z
_atom_site_occupancy
Pr1 Pr 0.0000 0.0000 0.2477 1
Tl1 Tl 0.0000 0.5000 0.5000 1
Tl2 Tl 0.5000 0.0000 0.0000 1
Tl3 Tl 0.5000 0.0000 0.5000 1
Hg1 Hg 0.0000 0.5000 0.0000 1
Hg2 Hg 0.5000 0.5000 0.2495 1

---

Record 2
# DyY2Er | Alexandria | PBE | optimized geometry
# Energy above the most stable polymorph in this dataset: 0 kJ/mol of formula units
# Energy relative to the elements: 0.002 eV/atom
data_DyY2Er
_chemical_formula_sum 'Dy2 Y4 Er2'
_cell_length_a 12.8960
_cell_length_b 3.6283
_cell_length_c 6.2768
_cell_angle_alpha 90.00
_cell_angle_beta 119.11
_cell_angle_gamma 90.00
_space_group_name_H-M_alt 'C 1 m 1'
_space_group_IT_number 8
loop_
_space_group_symop_operation_xyz
'x,y,z'
'x,-y,z'
'x+1/2,y+1/2,z'
'x+1/2,-y+1/2,z'
loop_
_atom_site_label
_atom_site_type_symbol
_atom_site_fract_x
_atom_site_fract_y
_atom_site_fract_z
_atom_site_occupancy
Dy1 Dy 0.0000 0.0000 0.0000 1
Y1 Y 0.2495 0.0000 0.9161 1
Y2 Y 0.4974 0.0000 0.4982 1
Er1 Er 0.2478 0.5000 0.4161 1